[1]
The following is a PBE calculation of crystalline BaTiRh3 at its relaxed geometry, from Alexandria.

Results
Energy above the lowest structure with this stoichiometry, meV per atom: 1832.0

a b c (Å): 4.9835 4.9835 4.9835
angles (deg): 90.00 90.00 90.00
Sites, in units of the cell vectors:
Ba (0.0000, 0.0000, 0.0000)
Ti (0.5000, 0.5000, 0.5000)
Rh (0.0000, 0.0000, 0.5000)
Rh (0.0000, 0.5000, 0.0000)
Rh (0.5000, 0.0000, 0.0000)

***

[2]
The following is a PBE calculation of crystalline BaTiRh3 at its relaxed geometry, from Alexandria.

Results
Energy above the lowest structure with this stoichiometry, meV per atom: 0.0

a b c (Å): 4.7511 4.7511 4.7511
angles (deg): 90.00 90.00 90.00
Sites, in units of the cell vectors:
Ba (0.0000, 0.0000, 0.0000)
Ti (0.5000, 0.5000, 0.5000)
Rh (0.0000, 0.5000, 0.5000)
Rh (0.5000, 0.0000, 0.5000)
Rh (0.5000, 0.5000, 0.0000)

***

[3]
The following is a PBE calculation of crystalline BaTiRh2W at its relaxed geometry, from Alexandria.

a b c (Å): 4.9443 4.9443 4.7875
angles (deg): 90.00 90.00 90.00
Sites, in units of the cell vectors:
Ba (0.0000, 0.0000, 0.0000)
Ti (0.5000, 0.5000, 0.0000)
Rh (0.0000, 0.5000, 0.5000)
Rh (0.5000, 0.0000, 0.5000)
W (0.5000, 0.5000, 0.5000)

***

[4]
The following is a PBE calculation of crystalline Ba4TlRh at its relaxed geometry, from Alexandria.

Results
Energy above the lowest structure with this stoichiometry, meV per atom: 0.0

a b c (Å): 8.8860 8.8860 7.1240
angles (deg): 99.09 99.09 112.33
Sites, in units of the cell vectors:
Ba (0.0535, 0.7306, 0.9610)
Ba (0.2127, 0.3678, 0.6005)
Ba (0.2694, 0.9465, 0.5390)
Ba (0.3678, 0.2127, 0.1005)
Ba (0.6322, 0.7873, 0.8995)
Ba (0.7306, 0.0535, 0.4610)
Ba (0.7873, 0.6322, 0.3995)
Ba (0.9465, 0.2694, 0.0390)
Tl (0.3679, 0.6321, 0.2500)
Tl (0.6321, 0.3679, 0.7500)
Rh (0.0007, 0.9993, 0.7500)
Rh (0.9993, 0.0007, 0.2500)

***

[5]
The following is a PBE calculation of crystalline Ba2Tl2Rh3 at its relaxed geometry, from Alexandria.

a b c (Å): 12.1737 4.6171 7.3066
angles (deg): 90.00 120.76 90.00
Sites, in units of the cell vectors:
Ba (0.1558, 0.0000, 0.2756)
Ba (0.3442, 0.5000, 0.7244)
Ba (0.6558, 0.5000, 0.2756)
Ba (0.8442, 0.0000, 0.7244)
Tl (0.1414, 0.0000, 0.7685)
Tl (0.3586, 0.5000, 0.2315)
Tl (0.6414, 0.5000, 0.7685)
Tl (0.8586, 0.0000, 0.2315)
Rh (0.0000, 0.5000, 0.5000)
Rh (0.0740, 0.5000, 0.9210)
Rh (0.4260, 0.0000, 0.0790)
Rh (0.5000, 0.0000, 0.5000)
Rh (0.5740, 0.0000, 0.9210)
Rh (0.9260, 0.5000, 0.0790)

***

[6]
The following is a PBE calculation of crystalline Ba6TlRh at its relaxed geometry, from Alexandria.

Results
Energy above the lowest structure with this stoichiometry, meV per atom: 98.1

a b c (Å): 10.0513 10.0513 12.1813
angles (deg): 120.20 120.20 74.89
Sites, in units of the cell vectors:
Ba (0.0066, 0.6467, 0.3388)
Ba (0.1509, 0.7778, 0.7855)
Ba (0.2222, 0.8491, 0.2145)
Ba (0.2728, 0.2728, 0.1274)
Ba (0.3456, 0.3456, 0.5407)
Ba (0.3533, 0.9934, 0.6612)
Ba (0.6467, 0.0066, 0.3388)
Ba (0.6544, 0.6544, 0.4593)
Ba (0.7272, 0.7272, 0.8726)
Ba (0.7778, 0.1509, 0.7855)
Ba (0.8491, 0.2222, 0.2145)
Ba (0.9934, 0.3533, 0.6612)
Tl (0.0000, 0.5000, 0.0000)
Tl (0.5000, 0.0000, 0.0000)
Rh (0.0000, 0.5000, 0.5000)
Rh (0.5000, 0.0000, 0.5000)

***

[7]
The following is a PBE calculation of crystalline Ba4Tl2Rh at its relaxed geometry, from Alexandria.

a b c (Å): 7.8740 7.8687 9.4674
angles (deg): 90.00 108.67 90.00
Sites, in units of the cell vectors:
Ba (0.1331, 0.0098, 0.3066)
Ba (0.1331, 0.4902, 0.3066)
Ba (0.3003, 0.2500, 0.9186)
Ba (0.3166, 0.7500, 0.6718)
Ba (0.6834, 0.2500, 0.3282)
Ba (0.6997, 0.7500, 0.0814)
Ba (0.8669, 0.5098, 0.6934)
Ba (0.8669, 0.9902, 0.6934)
Tl (0.2131, 0.7500, 0.0134)
Tl (0.4651, 0.2500, 0.6114)
Tl (0.5349, 0.7500, 0.3886)
Tl (0.7869, 0.2500, 0.9866)
Rh (0.0996, 0.2500, 0.5832)
Rh (0.9004, 0.7500, 0.4168)

***

[8]
The following is a PBE calculation of crystalline BaTl3Rh at its relaxed geometry, from Alexandria.

Results
Energy above the lowest structure with this stoichiometry, meV per atom: 0.0

a b c (Å): 9.6771 4.8220 12.1563
angles (deg): 90.00 90.00 90.00
Sites, in units of the cell vectors:
Ba (0.1969, 0.2500, 0.0021)
Ba (0.3031, 0.7500, 0.5021)
Ba (0.6969, 0.2500, 0.4979)
Ba (0.8031, 0.7500, 0.9979)
Tl (0.0592, 0.2500, 0.4184)
Tl (0.1246, 0.7500, 0.2163)
Tl (0.1323, 0.7500, 0.7914)
Tl (0.3677, 0.2500, 0.2914)
Tl (0.3754, 0.2500, 0.7163)
Tl (0.4408, 0.7500, 0.9184)
Tl (0.5592, 0.2500, 0.0816)
Tl (0.6246, 0.7500, 0.2837)
Tl (0.6323, 0.7500, 0.7086)
Tl (0.8677, 0.2500, 0.2086)
Tl (0.8754, 0.2500, 0.7837)
Tl (0.9408, 0.7500, 0.5816)
Rh (0.1028, 0.2500, 0.6500)
Rh (0.3972, 0.7500, 0.1500)
Rh (0.6028, 0.2500, 0.8500)
Rh (0.8972, 0.7500, 0.3500)

***

no.,VASP energy (eV/atom),formation energy from the elements (meV per atom),DOS at the Fermi energy (states/eV/f.u.)
1,-4.563,1812,13.655
2,-6.395,-20,4.510
3,-6.978,516,6.265
4,-3.137,-235,4.146
5,-4.521,-145,5.228
6,-2.723,-66,10.360
7,-3.071,-246,7.453
8,-3.495,-220,3.729